6
Lattice="0.000 3.976 3.976 3.976 0.000 3.976 3.976 3.976 0.000" Properties=species:S:1:pos:R:3 comment="KLaMo4 | Alexandria | PBE-GGA | relaxed" e_tot_ev_per_atom=-7.31 spacegroup="F-43m (216)" delta_e_f_kcal_per_mol_atoms=21.16 pbc="T T T"
K 0.000 0.000 0.000
La 5.964 5.964 5.964
Mo 2.982 2.982 2.982
Mo 4.971 4.971 2.982
Mo 4.971 2.982 4.971
Mo 2.982 4.971 4.971

***

5
Lattice="4.599 0.000 0.000 0.000 4.599 0.000 0.000 0.000 4.599" Properties=species:S:1:pos:R:3 comment="Nb3CuPt | Alexandria | PBE-GGA | relaxed" e_tot_ev_per_atom=-7.07 spacegroup="Pm-3m (221)" delta_e_f_kcal_per_mol_atoms=23.10 polymorph_energy_ev_per_fu=0.000 pbc="T T T"
Nb 0.000 0.000 2.300
Nb 0.000 2.300 0.000
Nb 2.300 0.000 0.000
Cu 0.000 0.000 0.000
Pt 2.300 2.300 2.300